Computed, not measured: HfTiNbOs after structural relaxation at the GGA-PBE level of DFT.

Calculated values
Total magnetization = 0.0075 μB/atom
DOS(E_F) = 1.2996 states/eV per atom
DFT formation energy = -0.25 eV/atom
Crystal system = cubic

abc: 6.5011 6.5011 6.5011
angles: 90.00 90.00 90.00
Closest atoms and distances in Å follow each position.
Space group F-43m (No. 216)
Inequivalent atoms, fractional coordinates:
Hf 0.0000 0.0000 0.0000 [4 per cell]  4 Os 2.82, 4 Ti 2.82
Ti 0.2500 0.2500 0.7500 [4 per cell]  4 Nb 2.82, 4 Hf 2.82
Nb 0.0000 0.0000 0.5000 [4 per cell]  4 Os 2.82, 4 Ti 2.82
Os 0.2500 0.2500 0.2500 [4 per cell]  4 Hf 2.82, 4 Nb 2.82